First-principles (PBE) data for a relaxed KAl2Si crystal, as listed in Alexandria via LeMat-Bulk.

abc: 8.568 3.113 7.328
angles: 90.00 96.87 90.00
Space group Cm (No. 8)
Asymmetric unit:
K 0.000 0.000 0.000 (multiplicity 2)
Al 0.232 0.000 0.644 (multiplicity 2)
Al 0.491 0.000 0.478 (multiplicity 2)
Si 0.257 0.500 0.338 (multiplicity 2)

First-principles (PBE) data for a relaxed KAl2Si2 crystal, as listed in Alexandria via LeMat-Bulk.

## Properties
Energy above the most stable polymorph in this dataset ... 251.6 meV per atom

abc: 8.043 8.043 3.049
angles: 90.00 90.00 90.00
Space group P4/mbm (No. 127)
Asymmetric unit:
K 0.000 0.000 0.000 (multiplicity 2)
Al 0.135 0.365 0.500 (multiplicity 4)
Si 0.144 0.644 0.000 (multiplicity 4)

First-principles (PBE) data for a relaxed K2AlSi crystal, as listed in Alexandria via LeMat-Bulk.

## Properties
Energy above the most stable polymorph in this dataset ... 639.8 meV per atom

abc: 7.969 7.969 7.969
angles: 90.00 90.00 90.00
Space group Fm-3m (No. 225)
Asymmetric unit:
K 0.250 0.250 0.250 (multiplicity 8)
Al 0.000 0.000 0.000 (multiplicity 4)
Si 0.000 0.000 0.500 (multiplicity 4)

First-principles (PBE) data for a relaxed K2AlSi crystal, as listed in Alexandria via LeMat-Bulk.

## Properties
Energy above the most stable polymorph in this dataset ... 539.3 meV per atom

abc: 4.455 4.455 11.073
angles: 90.00 90.00 90.00
Space group I4/mmm (No. 139)
Asymmetric unit:
K 0.000 0.500 0.250 (multiplicity 4)
Al 0.000 0.000 0.000 (multiplicity 2)
Si 0.000 0.000 0.500 (multiplicity 2)

First-principles (PBE) data for a relaxed KAl2Si crystal, as listed in Alexandria via LeMat-Bulk.

abc: 4.521 4.521 8.536
angles: 90.00 90.00 90.00
Space group I4/mmm (No. 139)
Asymmetric unit:
K 0.000 0.000 0.000 (multiplicity 2)
Al 0.000 0.500 0.250 (multiplicity 4)
Si 0.000 0.000 0.500 (multiplicity 2)

First-principles (PBE) data for a relaxed KAl2Si crystal, as listed in Alexandria via LeMat-Bulk.

abc: 3.322 3.322 8.301
angles: 90.00 90.00 90.00
Space group P4/mmm (No. 123)
Asymmetric unit:
K 0.000 0.000 0.000 (multiplicity 1)
Al 0.500 0.500 0.330 (multiplicity 2)
Si 0.000 0.000 0.500 (multiplicity 1)

First-principles (PBE) data for a relaxed KAlSi crystal, as listed in Alexandria via LeMat-Bulk.

abc: 6.046 5.953 9.469
angles: 90.00 106.27 90.00
Space group C2/m (No. 12)
Asymmetric unit:
K 0.176 0.000 0.331 (multiplicity 4)
Al 0.250 0.250 0.000 (multiplicity 4)
Si 0.113 0.500 0.172 (multiplicity 4)

First-principles (PBE) data for a relaxed KAlSi crystal, as listed in Alexandria via LeMat-Bulk.

abc: 5.917 5.917 12.160
angles: 90.00 90.00 90.00
Space group P4_122 (No. 91)
Asymmetric unit:
K 0.000 0.226 0.000 (multiplicity 4)
Al 0.354 0.354 0.375 (multiplicity 4)
Si 0.086 0.500 0.250 (multiplicity 4)

First-principles (PBE) data for a relaxed KAlSi crystal, as listed in Alexandria via LeMat-Bulk.

abc: 9.915 10.706 7.030
angles: 90.00 119.85 90.00
Space group Cc (No. 9)
Asymmetric unit:
K 0.000 0.067 0.000 (multiplicity 4)
K 0.158 0.359 0.452 (multiplicity 4)
Al 0.273 0.132 0.830 (multiplicity 4)
Al 0.428 0.147 0.289 (multiplicity 4)
Si 0.237 0.320 0.992 (multiplicity 4)
Si 0.329 0.064 0.538 (multiplicity 4)

First-principles (PBE) data for a relaxed KAl2Si crystal, as listed in Alexandria via LeMat-Bulk.

abc: 3.410 3.410 7.783
angles: 90.00 90.00 90.00
Space group P4mm (No. 99)
Asymmetric unit:
K 0.000 0.000 0.000 (multiplicity 1)
Al 0.000 0.000 0.470 (multiplicity 1)
Al 0.500 0.500 0.661 (multiplicity 1)
Si 0.500 0.500 0.318 (multiplicity 1)

First-principles (PBE) data for a relaxed K2AlSi crystal, as listed in Alexandria via LeMat-Bulk.

## Properties
Energy above the most stable polymorph in this dataset ... 542.2 meV per atom

abc: 3.152 3.152 11.259
angles: 90.00 90.00 90.00
Space group P4/mmm (No. 123)
Asymmetric unit:
K 0.000 0.000 0.231 (multiplicity 2)
Al 0.500 0.500 0.500 (multiplicity 1)
Si 0.500 0.500 0.000 (multiplicity 1)

First-principles (PBE) data for a relaxed KAl2Si2 crystal, as listed in Alexandria via LeMat-Bulk.

## Properties
Energy above the most stable polymorph in this dataset ... 82.1 meV per atom

abc: 4.459 4.459 10.854
angles: 90.00 90.00 90.00
Space group I4/mmm (No. 139)
Asymmetric unit:
K 0.000 0.000 0.000 (multiplicity 2)
Al 0.000 0.000 0.376 (multiplicity 4)
Si 0.000 0.500 0.250 (multiplicity 4)

Number 1: uncorrected formation energy 0.176 eV/atom, raw total energy -3.32 eV/atom, N(E_F) 2.08 states/eV/f.u.. Number 2: uncorrected formation energy 0.246 eV/atom, raw total energy -3.64 eV/atom, N(E_F) 1.79 states/eV/f.u.. Number 3: uncorrected formation energy 0.629 eV/atom, raw total energy -2.21 eV/atom, N(E_F) 3.40 states/eV/f.u.. Number 4: uncorrected formation energy 0.529 eV/atom, raw total energy -2.31 eV/atom, N(E_F) 2.81 states/eV/f.u.. Number 5: uncorrected formation energy 0.544 eV/atom, raw total energy -2.96 eV/atom, N(E_F) 1.71 states/eV/f.u.. Number 6: uncorrected formation energy 0.216 eV/atom, raw total energy -3.29 eV/atom, N(E_F) 1.26 states/eV/f.u.. Number 7: uncorrected formation energy 0.112 eV/atom, raw total energy -3.31 eV/atom, N(E_F) 1.15 states/eV/f.u.. Number 8: uncorrected formation energy 0.349 eV/atom, raw total energy -3.07 eV/atom, N(E_F) 0.00 states/eV/f.u.. Number 9: uncorrected formation energy 0.074 eV/atom, raw total energy -3.35 eV/atom, N(E_F) 0.00 states/eV/f.u.. Number 10: uncorrected formation energy 0.164 eV/atom, raw total energy -3.34 eV/atom, N(E_F) 1.85 states/eV/f.u.. Number 11: uncorrected formation energy 0.532 eV/atom, raw total energy -2.31 eV/atom, N(E_F) 3.43 states/eV/f.u.. Number 12: uncorrected formation energy 0.076 eV/atom, raw total energy -3.81 eV/atom, N(E_F) 1.29 states/eV/f.u..